Density functional theory data (PBE-GGA) for InHg4Br2 after structural relaxation.

Properties
Formation energy without anion corrections ... -0.17 eV per atom
M_tot ... 0.00 μB per cell

Cell lengths 8.8153, 8.8153, 8.8153 Å; angles 142.00, 142.00, 54.83 degrees
Element x y z (fractional)
In (0.0000, 0.0000, 0.0000)
Hg (0.0000, 0.5000, 0.5000)
Hg (0.1766, 0.1766, 0.0000)
Hg (0.5000, 0.0000, 0.5000)
Hg (0.8234, 0.8234, 0.0000)
Br (0.3453, 0.3453, 0.0000)
Br (0.6547, 0.6547, 0.0000)